# 1
First-principles (PBE) data for a relaxed InAgAu crystal, as listed in Alexandria.

Its total energy is -3.002 eV per atom. Its calculated formation energy is -0.14 eV/f.u. The calculation puts the energy above the lowest structure with this stoichiometry at 59 meV/atom.

It has space group P3m1 (No. 156), with a = 4.7405 Å, b = 4.7405 Å, c = 3.0746 Å, α = 90.00°, β = 90.00° and γ = 120.00°. The distinct sites, in fractional coordinates, are In at (0.0000, 0.0000, 0.0000), Ag at (0.6667, 0.3333, 0.4179) and Au at (0.3333, 0.6667, 0.8434).

---

# 2
First-principles (PBE) data for a relaxed NaInS2 crystal, as listed in Alexandria.

Its total energy is -3.615 eV per atom.

It has space group Cmcm (No. 63), with a = 4.148 Å, b = 20.596 Å, c = 5.237 Å, α = 90.00°, β = 90.00° and γ = 90.00°. The distinct sites, in fractional coordinates, are Na at (0.000, 0.181, 0.250), In at (0.000, 0.433, 0.250), S at (0.000, 0.319, 0.250) and S at (0.000, 0.448, 0.750).

---

# 3
First-principles (PBE) data for a relaxed Na12Tl2Ge crystal, as listed in Alexandria.

Its total energy is -1.599 eV per atom. Its calculated formation energy is 1.19 eV/f.u.

It has space group P4/nbm (No. 125, origin choice 2), with a = 6.681 Å, b = 6.681 Å, c = 23.441 Å, α = 90.00°, β = 90.00° and γ = 90.00°. The distinct sites, in fractional coordinates, are Na at (0.000, 0.000, 0.076), Na at (0.074, 0.574, 0.433), Na at (0.250, 0.250, 0.199), Na at (0.250, 0.250, 0.328), Tl at (0.250, 0.750, 0.273) and Ge at (0.250, 0.750, 0.000).